BaCdAg: relaxed, PBE.

Calculated values
**Space-group type**: I4mm
**Electronic total energy**: -2.0942 eV per atom
**Calculated formation energy**: -0.20 eV per atom
**Volume**: 30.09 A^3/atom

a = 6.4638 Å, b = 6.4638 Å, c = 6.4638 Å
α = 144.56°, β = 144.59°, γ = 50.97°
Fractional coordinates of all 3 atoms:
Ba 0.3346 0.3346 0.0000
Cd 0.6345 0.6345 0.0000
Ag 0.0309 0.0309 0.0000

MgBeSi2: relaxed, PBE.

Calculated values
**Space-group type**: I4/mmm
**Electronic total energy**: -3.6940 eV per atom
**E above lowest polymorph**: 0.247 eV/atom
**Volume**: 14.37 A^3/atom

a = 4.7655 Å, b = 4.7655 Å, c = 4.7655 Å
α = 132.65°, β = 132.65°, γ = 69.21°
Fractional coordinates of all 4 atoms:
Mg 0.7500 0.2500 0.5000
Si 0.5000 0.5000 0.0000
Si 0.0000 0.0000 0.0000
Be 0.2500 0.7500 0.5000

Sc2Pd2Pt: relaxed, PBE.

Calculated values
**Space-group type**: I4/mmm
**Electronic total energy**: -6.5065 eV per atom
**E above lowest polymorph**: 0.181 eV/atom
**Calculated formation energy**: -0.69 eV per atom
**Volume**: 19.03 A^3/atom

a = 3.6454 Å, b = 3.6454 Å, c = 7.6091 Å
α = 76.14°, β = 76.14°, γ = 90.00°
Fractional coordinates of all 5 atoms:
Pd 0.2500 0.7500 0.5000
Pd 0.7500 0.2500 0.5000
Sc 0.6050 0.6050 0.7901
Sc 0.3950 0.3950 0.2099
Pt 0.0000 0.0000 0.0000

Ta2RhCl: relaxed, PBE.

Calculated values
**Space-group type**: P4/mmm
**Electronic total energy**: -8.2738 eV per atom
**E above lowest polymorph**: 0.175 eV/atom
**Volume**: 15.62 A^3/atom

a = 2.9406 Å, b = 2.9406 Å, c = 7.2255 Å
α = 90.00°, β = 90.00°, γ = 90.00°
Fractional coordinates of all 4 atoms:
Rh 0.5000 0.5000 0.7500
Ta 0.0000 0.0000 0.0075
Ta 0.0000 0.0000 0.4925
Cl 0.5000 0.5000 0.2500

LiSm3Ag4: relaxed, PBE.

Calculated values
**Space-group type**: R-3m
**Electronic total energy**: -3.6560 eV per atom
**Calculated formation energy**: -0.22 eV per atom
**Volume**: 23.99 A^3/atom

a = 5.1471 Å, b = 5.1471 Å, c = 8.8760 Å
α = 73.15°, β = 73.15°, γ = 60.00°
Fractional coordinates of all 8 atoms:
Sm 0.5000 0.5000 0.5000
Sm 0.2545 0.2545 0.2366
Sm 0.7455 0.7455 0.7634
Ag 0.8772 0.8772 0.3684
Ag 0.3765 0.3765 0.8706
Ag 0.6235 0.6235 0.1294
Ag 0.1228 0.1228 0.6316
Li 0.0000 0.0000 0.0000

BaCl: relaxed, PBE.

Calculated values
**Space-group type**: P6_3/m
**Electronic total energy**: -3.5785 eV per atom
**Volume**: 54.49 A^3/atom

a = 11.8624 Å, b = 11.8624 Å, c = 5.3659 Å
α = 90.00°, β = 90.00°, γ = 120.00°
Fractional coordinates of all 12 atoms:
Cl 0.0185 0.3874 0.7500
Cl 0.3689 0.9815 0.7500
Cl 0.6311 0.0185 0.2500
Cl 0.9815 0.6126 0.2500
Cl 0.3874 0.3689 0.2500
Cl 0.6126 0.6311 0.7500
Ba 0.1376 0.6967 0.7500
Ba 0.6967 0.5592 0.2500
Ba 0.5592 0.8624 0.7500
Ba 0.4408 0.1376 0.2500
Ba 0.8624 0.3033 0.2500
Ba 0.3033 0.4408 0.7500

Question: Which of these has the highest volume?
Answer: BaCl